# Pr3Sm8Tm2 PBE relaxed
# DOS at the Fermi energy = 1.534 states/eV per atom
# crystal system = monoclinic
# E_form = 225 meV/atom
# energy above the most stable polymorph in this dataset = 69 meV/atom
# total DFT energy (no corrections) = -4.47 eV per atom
data_Pr3Sm8Tm2
_chemical_formula_sum 'Pr6 Sm16 Tm4'
_space_group_name_H-M_alt 'C 1 2/m 1'
_space_group_IT_number 12
_cell_length_a 20.2793
_cell_length_b 7.7797
_cell_length_c 5.7782
_cell_angle_alpha 90.00
_cell_angle_beta 90.04
_cell_angle_gamma 90.00
loop_
_space_group_symop_operation_xyz
'x,y,z'
'-x,-y,-z'
'-x,y,-z'
'x,-y,z'
'x+1/2,y+1/2,z'
'-x+1/2,-y+1/2,-z'
'-x+1/2,y+1/2,-z'
'x+1/2,-y+1/2,z'
loop_
_atom_site_label
_atom_site_fract_x
_atom_site_fract_y
_atom_site_fract_z
Pr1 0.0000 0.0000 0.0000
Pr2 0.0000 0.2907 0.5000
Sm1 0.1094 0.2916 0.0003
Sm2 0.1362 0.0000 0.4996
Sm3 0.1747 0.5000 0.5011
Tm1 0.2414 0.0000 0.9987

=====

# BeTlZnIrBr PBE relaxed
# DOS at the Fermi energy = 0.375 states/eV per atom
# energy relative to the elements, uncorrected = -0.6 eV per formula unit
# crystal system = monoclinic
# energy above the most stable polymorph in this dataset = 40 meV/atom
# total DFT energy (no corrections) = -3.71 eV per atom
data_BeTlZnIrBr
_chemical_formula_sum 'Be1 Tl1 Zn1 Ir1 Br1'
_space_group_name_H-M_alt 'P 1 m 1'
_space_group_IT_number 6
_cell_length_a 4.1725
_cell_length_b 3.0147
_cell_length_c 9.1587
_cell_angle_alpha 90.00
_cell_angle_beta 90.16
_cell_angle_gamma 90.00
loop_
_space_group_symop_operation_xyz
'x,y,z'
'x,-y,z'
loop_
_atom_site_label
_atom_site_fract_x
_atom_site_fract_y
_atom_site_fract_z
Be1 0.0000 0.0000 0.0000
Tl1 0.5045 0.5000 0.4413
Zn1 0.5007 0.0000 0.1500
Ir1 0.0010 0.5000 0.1826
Br1 0.0034 0.0000 0.7737

=====

# ErSn3Pd PBE relaxed
# DOS at the Fermi energy = 0.438 states/eV per atom
# crystal system = orthorhombic
# E_form = -320 meV/atom
# total DFT energy (no corrections) = -4.67 eV per atom
data_ErSn3Pd
_chemical_formula_sum 'Er4 Sn12 Pd4'
_space_group_name_H-M_alt 'A m a 2'
_space_group_IT_number 40
_cell_length_a 5.1564
_cell_length_b 16.0366
_cell_length_c 6.1165
_cell_angle_alpha 90.00
_cell_angle_beta 90.00
_cell_angle_gamma 90.00
loop_
_space_group_symop_operation_xyz
'x,y,z'
'-x,-y,z'
'-x+1/2,y,z'
'x+1/2,-y,z'
'x,y+1/2,z+1/2'
'-x,-y+1/2,z+1/2'
'-x+1/2,y+1/2,z+1/2'
'x+1/2,-y+1/2,z+1/2'
loop_
_atom_site_label
_atom_site_fract_x
_atom_site_fract_y
_atom_site_fract_z
Er1 0.2500 0.2153 0.0000
Sn1 0.2500 0.0388 0.1739
Sn2 0.2500 0.1777 0.5120
Sn3 0.2500 0.4143 0.2214
Pd1 0.2500 0.3576 0.6674

=====

# MgInSI2 PBE relaxed
# DOS at the Fermi energy = 0.465 states/eV per atom
# energy relative to the elements, uncorrected = 0.9 eV per formula unit
# crystal system = tetragonal
# total DFT energy (no corrections) = -2.13 eV per atom
data_MgInSI2
_chemical_formula_sum 'Mg1 In1 S1 I2'
_space_group_name_H-M_alt 'P 4/m m m'
_space_group_IT_number 123
_space_group_name_Hall '-P 4 2'
_cell_length_a 5.8611
_cell_length_b 5.8611
_cell_length_c 5.3360
_cell_angle_alpha 90.00
_cell_angle_beta 90.00
_cell_angle_gamma 90.00
loop_
_atom_site_label
_atom_site_fract_x
_atom_site_fract_y
_atom_site_fract_z
Mg1 0.0000 0.0000 0.0000
In1 0.5000 0.5000 0.0000
S1 0.5000 0.5000 0.5000
I1 0.0000 0.5000 0.5000